[1]
The following is a DFT calculation (PBE-GGA) of an optimized crystal structure of Pm3Sb4Au3.

- ΔE_f (raw) (kJ per mole of atoms) = -84.2

POSCAR file:
```
Pm3Sb4Au3
1.0
-5.0406 5.0406 5.0406
5.0406 -5.0406 5.0406
5.0406 5.0406 -5.0406
Pm Sb Au
6 8 6
Cartesian
5.0406 -2.5203 3.7805
3.7805 5.0406 -2.5203
5.0406 2.5203 1.2602
2.5203 1.2602 5.0406
1.2602 5.0406 2.5203
-2.5203 3.7805 5.0406
3.4028 1.6379 -1.6379
5.9231 -0.8824 0.8824
1.6379 -1.6379 3.4028
1.6379 1.6379 1.6379
-1.6379 3.4028 1.6379
0.8824 5.9231 -0.8824
-0.8824 0.8824 5.9231
4.1582 4.1582 4.1582
7.5610 1.2602 0.0000
3.7805 0.0000 2.5203
2.5203 3.7805 0.0000
0.0000 2.5203 3.7805
1.2602 0.0000 7.5610
0.0000 7.5610 1.2602
```

=====

[2]
The following is a DFT calculation (PBE-GGA) of an optimized crystal structure of Pm2Sb2Au3.

- ΔE_f (raw) (kJ per mole of atoms) = -68.3

POSCAR file:
```
Pm2Sb2Au3
1.0
5.7299 -2.2693 0.0000
5.7299 2.2693 0.0000
-0.3229 0.0000 6.6890
Pm Sb Au
2 2 3
Cartesian
1.1514 0.0000 1.9211
9.9855 0.0000 4.7679
1.9249 0.0000 5.4052
9.2119 0.0000 1.2838
4.4574 0.0000 2.5364
5.7299 0.0000 0.0000
6.6794 0.0000 4.1526
```

=====

[3]
The following is a DFT calculation (PBE-GGA) of an optimized crystal structure of PmSb2Au.

- ΔE_f (raw) (kJ per mole of atoms) = -67.9

POSCAR file:
```
PmSb2Au
1.0
4.4540 0.0000 0.0000
0.0000 4.4540 0.0000
0.0000 0.0000 10.2154
Pm Sb Au
2 4 2
Cartesian
1.1135 1.1135 2.5116
3.3405 3.3405 7.7039
1.1135 1.1135 6.9623
1.1135 3.3405 0.0000
3.3405 1.1135 0.0000
3.3405 3.3405 3.2531
1.1135 3.3405 5.1077
3.3405 1.1135 5.1077
```

=====

[4]
The following is a DFT calculation (PBE-GGA) of an optimized crystal structure of PmSb2Au.

- ΔE_f (raw) (kJ per mole of atoms) = -56.7

POSCAR file:
```
PmSb2Au
1.0
4.7739 0.0000 0.0000
0.0000 4.7739 0.0000
0.0000 0.0000 4.3730
Pm Sb Au
1 2 1
Cartesian
0.0000 0.0000 0.0000
0.0000 2.3870 2.1865
2.3870 0.0000 2.1865
2.3870 2.3870 0.0000
```

=====

[5]
The following is a DFT calculation (PBE-GGA) of an optimized crystal structure of Pm8Sb2Au.

- ΔE_f (raw) (kJ per mole of atoms) = -48.8

POSCAR file:
```
Pm8Sb2Au
1.0
9.6731 -2.4424 0.0000
9.6731 2.4424 0.0000
-1.1971 0.0000 7.2736
Pm Sb Au
8 2 1
Cartesian
-0.1088 0.0000 1.9623
3.1523 0.0000 6.1653
6.0730 0.0000 3.4507
7.8350 0.0000 0.0083
10.3142 0.0000 7.2654
12.0762 0.0000 3.8229
14.9969 0.0000 1.1083
18.2581 0.0000 5.3113
3.1932 0.0000 1.9406
14.9560 0.0000 5.3330
9.0746 0.0000 3.6368
```

=====

[6]
The following is a DFT calculation (PBE-GGA) of an optimized crystal structure of SrPmSbAu.

- ΔE_f (raw) (kJ per mole of atoms) = -75.7

POSCAR file:
```
SrPmSbAu
1.0
0.0000 3.8580 3.8580
3.8580 0.0000 3.8580
3.8580 3.8580 0.0000
Sr Pm Sb Au
1 1 1 1
Cartesian
0.0000 0.0000 0.0000
3.8580 3.8580 3.8580
5.7870 5.7870 5.7870
1.9290 1.9290 1.9290
```

=====

[7]
The following is a DFT calculation (PBE-GGA) of an optimized crystal structure of SrPmSb2Au2.

- ΔE_f (raw) (kJ per mole of atoms) = -82.8

POSCAR file:
```
SrPmSb2Au2
1.0
4.7000 0.0000 0.0000
-2.3500 4.0703 0.0000
0.0000 0.0000 8.5957
Sr Pm Sb Au
1 1 2 2
Cartesian
0.0000 0.0000 0.0000
0.0000 0.0000 4.2978
0.0000 2.7135 6.4514
2.3500 1.3568 2.1443
0.0000 2.7135 2.5526
2.3500 1.3568 6.0430
```

=====

[8]
The following is a DFT calculation (PBE-GGA) of an optimized crystal structure of TbPmSbAu.

- ΔE_f (raw) (kJ per mole of atoms) = -76.0

POSCAR file:
```
TbPmSbAu
1.0
0.0000 3.7364 3.7364
3.7364 0.0000 3.7364
3.7364 3.7364 0.0000
Tb Pm Sb Au
1 1 1 1
Cartesian
0.0000 0.0000 0.0000
3.7364 3.7364 3.7364
5.6046 5.6046 5.6046
1.8682 1.8682 1.8682
```

=====

- What is the ΔE_f (raw) in the eighth record?
  -76.0 kJ per mole of atoms